1.
# CaScPb2

A relaxed CaScPb2 crystal (GGA-PBE, Alexandria).

Symmetry = No. 122
E = -31.73 eV for the cell shown
Formation enthalpy at 0 K = -0.029 eV per atom
Crystal system = tetragonal

Cell: 5.136 5.136 10.755 Å, 76.19 76.19 90.00°
Sites, in units of the cell vectors:
Pb1 0.680 0.125 0.250
Pb2 0.070 0.625 0.250
Pb3 0.375 0.320 0.750
Pb4 0.875 0.930 0.750
Sc1 0.000 0.000 0.000
Sc2 0.750 0.250 0.500
Ca1 0.500 0.500 0.000
Ca2 0.250 0.750 0.500

=====

2.
# KMo2Pt

A relaxed KMo2Pt crystal (GGA-PBE, Alexandria).

Symmetry = No. 123
E = -25.69 eV for the cell shown
Formation enthalpy at 0 K = 0.777 eV per atom
Crystal system = tetragonal
Energy above the most stable polymorph in this dataset = 372 meV per atom

Cell: 3.568 3.568 7.816 Å, 90.00 90.00 90.00°
Sites, in units of the cell vectors:
K1 0.500 0.500 0.750
Mo1 0.000 0.000 0.112
Mo2 0.000 0.000 0.388
Pt1 0.500 0.500 0.250

=====

3.
# KTl2In

A relaxed KTl2In crystal (GGA-PBE, Alexandria).

Symmetry = No. 10
E = -8.91 eV for the cell shown
Formation enthalpy at 0 K = -0.085 eV per atom
Crystal system = monoclinic

Cell: 4.970 3.453 7.842 Å, 76.04 90.00 90.00°
Sites, in units of the cell vectors:
Tl1 0.000 0.056 0.040
Tl2 0.000 0.444 0.460
K1 0.500 0.750 0.750
In1 0.500 0.250 0.250

=====

> formation enthalpy at 0 K of number 1 (CaScPb2)?

-0.029 eV per atom

=====

> What is the formation enthalpy at 0 K in the second record?

0.777 eV per atom

=====

> Which of these has the highest E?

KTl2In

=====

> Number 1 is which compound?

CaScPb2